Model A:
GaAg2Au2 | the Alexandria database | PBE | relaxed; ρ = 11.79 g/cm³
1.0
-2.241 2.563 6.109
-6.166 -3.166 -0.934
1.356 -3.181 1.832
Au Ga Ag
4 2 4
direct
0.152 0.652 0.500 Au
0.652 0.848 0.500 Au
0.848 0.348 0.500 Au
0.348 0.152 0.500 Au
0.000 0.000 0.000 Ga
0.500 0.500 0.000 Ga
0.352 0.852 0.000 Ag
0.852 0.648 0.000 Ag
0.648 0.148 0.000 Ag
0.148 0.352 0.000 Ag

=====

Model B:
GaAg2Au2 | the Alexandria database | PBE | relaxed; ρ = 11.03 g/cm³
1.0
3.825 0.000 0.000
0.000 3.825 0.000
1.912 1.912 6.994
Au Ga Ag
2 1 2
direct
0.403 0.403 0.193 Au
0.597 0.597 0.807 Au
0.000 0.000 0.000 Ga
0.750 0.250 0.500 Ag
0.250 0.750 0.500 Ag

=====

The winner here is model A, beating the second structure by 33 meV per atom.

=====

Model A:
GaAg2Au8 | the Alexandria database | PBE | relaxed; ρ = 15.67 g/cm³
1.0
-0.958 3.343 -2.181
0.430 -3.530 -5.600
-6.688 -2.202 3.427
Au Ag Ga
8 2 1
direct
0.590 0.439 0.179 Au
0.317 0.091 0.634 Au
0.134 0.174 0.267 Au
0.048 0.725 0.096 Au
0.866 0.826 0.733 Au
0.683 0.909 0.366 Au
0.410 0.561 0.821 Au
0.952 0.275 0.904 Au
0.225 0.631 0.451 Ag
0.775 0.369 0.549 Ag
0.500 0.000 0.000 Ga

=====

Model B:
GaAg2Au8 | the Alexandria database | PBE | relaxed; ρ = 13.72 g/cm³
1.0
5.037 0.636 0.529
0.948 6.801 -0.312
0.948 0.937 6.743
Ga Ag Au
1 2 8
direct
0.000 0.000 0.000 Ga
0.482 0.144 0.144 Ag
0.518 0.856 0.856 Ag
0.805 0.157 0.684 Au
0.195 0.316 0.843 Au
0.901 0.272 0.272 Au
0.099 0.728 0.728 Au
0.805 0.684 0.157 Au
0.195 0.843 0.316 Au
0.298 0.429 0.429 Au
0.702 0.571 0.571 Au

=====

The winner here is model A, beating the second structure by 143 meV per atom.

=====

Model A:
Ga2AgAu3 | the Alexandria database | PBE | relaxed; ρ = 11.68 g/cm³
1.0
-2.363 -5.731 -7.523
7.097 -0.077 -6.682
-0.085 -1.281 9.575
Ga Ag Au
8 4 12
direct
0.885 0.653 0.756 Ga
0.379 0.647 0.744 Ga
0.347 0.115 0.244 Ga
0.353 0.621 0.256 Ga
0.897 0.129 0.244 Ga
0.903 0.635 0.256 Ga
0.365 0.097 0.744 Ga
0.871 0.103 0.756 Ga
0.309 0.309 0.618 Ag
0.691 0.691 0.382 Ag
0.559 0.059 0.118 Ag
0.941 0.441 0.882 Ag
0.313 0.687 0.000 Au
0.125 0.875 0.250 Au
0.125 0.375 0.250 Au
0.736 0.736 0.000 Au
0.687 0.313 0.000 Au
0.986 0.486 0.500 Au
0.625 0.875 0.750 Au
0.125 0.875 0.750 Au
0.514 0.014 0.500 Au
0.563 0.437 0.500 Au
0.264 0.264 0.000 Au
0.937 0.063 0.500 Au

=====

Model B:
Ga2AgAu3 | the Alexandria database | PBE | relaxed; ρ = 12.83 g/cm³
1.0
6.866 -0.350 1.420
-1.172 6.775 1.420
0.659 0.743 5.033
Ga Ag Au
4 2 6
direct
0.129 0.471 0.233 Ga
0.529 0.871 0.267 Ga
0.871 0.529 0.767 Ga
0.471 0.129 0.733 Ga
0.070 0.930 0.250 Ag
0.930 0.070 0.750 Ag
0.740 0.586 0.324 Au
0.414 0.260 0.176 Au
0.260 0.414 0.676 Au
0.586 0.740 0.824 Au
0.802 0.198 0.250 Au
0.198 0.802 0.750 Au

=====

The winner here is model B, beating the second structure by 50 meV per atom.

=====

Model A:
GaAgAu6 | the Alexandria database | PBE | relaxed; ρ = 15.81 g/cm³
1.0
4.796 0.000 0.000
0.000 5.324 -2.390
0.000 -0.495 5.815
Ga Ag Au
1 1 6
direct
0.500 0.163 0.837 Ga
0.500 0.665 0.335 Ag
0.500 0.165 0.335 Au
0.500 0.665 0.835 Au
0.000 0.334 0.161 Au
0.000 0.839 0.666 Au
0.000 0.334 0.666 Au
0.000 0.835 0.165 Au

=====

Model B:
GaAgAu6 | the Alexandria database | PBE | relaxed; ρ = 15.81 g/cm³
1.0
-1.472 -3.082 -2.429
3.621 -2.066 0.427
-2.931 -3.779 6.571
Ga Ag Au
1 1 6
direct
0.000 0.000 0.500 Ga
0.000 0.000 0.000 Ag
0.500 0.500 0.000 Au
0.500 0.500 0.500 Au
0.500 0.000 0.254 Au
0.500 0.000 0.746 Au
0.000 0.500 0.254 Au
0.000 0.500 0.746 Au

=====

The winner here is model A, beating the second structure by 17 meV per atom.